Record 1
VASP calculation (PBE) on a relaxed In2RhCl crystal.

Output
**ΔE to the lowest computed polymorph**: 133 meV/atom
**Total energy**: -4.00 eV per atom
**Formation energy without anion corrections**: -1.34 eV per formula unit
**Calculated volume**: 22.81 A^3/atom

CIF file:
```
data_In2RhCl
_symmetry_space_group_name_H-M 'P 1'
_symmetry_Int_Tables_number 1
_cell_length_a 8.2656
_cell_length_b 8.2656
_cell_length_c 8.2656
_cell_angle_alpha 157.20
_cell_angle_beta 155.33
_cell_angle_gamma 33.84
loop_
_symmetry_equiv_pos_as_xyz
'x,y,z'
loop_
_atom_site_label
_atom_site_fract_x
_atom_site_fract_y
_atom_site_fract_z
In1 0.0000 0.0000 0.0000
In2 0.7155 0.2155 0.5000
Rh1 0.5786 0.5786 0.0000
Cl1 0.3355 0.8355 0.5000
```

---

Record 2
VASP calculation (PBE) on a relaxed La4TbPu3S8 crystal.

Output
**Total energy**: -8.27 eV per atom
**Formation energy without anion corrections**: -32.01 eV per formula unit
**Calculated volume**: 23.56 A^3/atom

CIF file:
```
data_La4TbPu3S8
_symmetry_space_group_name_H-M 'P 1'
_symmetry_Int_Tables_number 1
_cell_length_a 8.1405
_cell_length_b 8.1405
_cell_length_c 8.1405
_cell_angle_alpha 59.47
_cell_angle_beta 59.47
_cell_angle_gamma 59.47
loop_
_symmetry_equiv_pos_as_xyz
'x,y,z'
loop_
_atom_site_label
_atom_site_fract_x
_atom_site_fract_y
_atom_site_fract_z
La1 0.0000 0.0000 0.0000
La2 0.0000 0.5000 0.5000
La3 0.5000 0.0000 0.5000
La4 0.5000 0.5000 0.0000
Tb1 0.5000 0.5000 0.5000
Pu1 0.0000 0.0000 0.5000
Pu2 0.0000 0.5000 0.0000
Pu3 0.5000 0.0000 0.0000
S1 0.2446 0.2446 0.2446
S2 0.2457 0.7442 0.7442
S3 0.2558 0.2558 0.7543
S4 0.2558 0.7543 0.2558
S5 0.7442 0.2457 0.7442
S6 0.7442 0.7442 0.2457
S7 0.7543 0.2558 0.2558
S8 0.7554 0.7554 0.7554
```